Entry 1:
# CrSbS3 (GGA-PBE, relaxed)
data_CrSbS3
_chemical_formula_sum 'Cr2 Sb2 S6'
_space_group_name_H-M_alt 'P 1'
_space_group_IT_number 1
_space_group_name_Hall 'P 1'
_cell_length_a 3.6498
_cell_length_b 6.5319
_cell_length_c 9.6545
_cell_angle_alpha 89.37
_cell_angle_beta 90.00
_cell_angle_gamma 90.00
loop_
_atom_site_label
_atom_site_type_symbol
_atom_site_fract_x
_atom_site_fract_y
_atom_site_fract_z
Cr1 Cr 0.7500 0.0735 0.8417
Sb1 Sb 0.2500 0.5833 0.8151
S1 S 0.2500 0.9313 0.7011
S2 S 0.2500 0.6107 0.3147
S3 S 0.7500 0.8016 0.0133
S4 S 0.7500 0.3893 0.6853
S5 S 0.7500 0.0687 0.2989
Sb2 Sb 0.7500 0.4167 0.1849
Cr2 Cr 0.2500 0.9265 0.1583
S6 S 0.2500 0.1984 0.9867
# electronic total energy = -5.6565 eV/atom
# space group = P2_1/m (11)
# total moment = 6.00 μB/cell

***

Entry 2:
# Cr2SbS (GGA-PBE, relaxed)
data_Cr2SbS
_chemical_formula_sum 'Cr2 Sb1 S1'
_space_group_name_H-M_alt 'P 1'
_space_group_IT_number 1
_space_group_name_Hall 'P 1'
_cell_length_a 4.4193
_cell_length_b 4.4193
_cell_length_c 4.4193
_cell_angle_alpha 60.00
_cell_angle_beta 60.00
_cell_angle_gamma 60.00
loop_
_atom_site_label
_atom_site_type_symbol
_atom_site_fract_x
_atom_site_fract_y
_atom_site_fract_z
Cr1 Cr 0.2500 0.2500 0.2500
Cr2 Cr 0.7500 0.7500 0.7500
S1 S 0.0000 0.0000 0.0000
Sb1 Sb 0.5000 0.5000 0.5000
# electronic total energy = -6.5204 eV/atom
# space group = Fm-3m (225)
# total moment = 3.19 μB/cell

***

Entry 3:
# Cr2SbS (GGA-PBE, relaxed)
data_Cr2SbS
_chemical_formula_sum 'Cr4 Sb2 S2'
_space_group_name_H-M_alt 'P 1'
_space_group_IT_number 1
_space_group_name_Hall 'P 1'
_cell_length_a 5.6366
_cell_length_b 5.6366
_cell_length_c 7.2494
_cell_angle_alpha 67.12
_cell_angle_beta 67.12
_cell_angle_gamma 90.00
loop_
_atom_site_label
_atom_site_type_symbol
_atom_site_fract_x
_atom_site_fract_y
_atom_site_fract_z
Cr1 Cr 0.3750 0.4318 0.7500
S1 S 0.5000 0.5000 0.0000
Cr2 Cr 0.5682 0.1250 0.2500
Cr3 Cr 0.1818 0.6250 0.2500
S2 S 0.2500 0.7500 0.5000
Sb1 Sb 0.0000 0.0000 0.0000
Sb2 Sb 0.7500 0.2500 0.5000
Cr4 Cr 0.8750 0.8182 0.7500
# electronic total energy = -6.8095 eV/atom
# space group = I-42d (122)
# total moment = 14.00 μB/cell